Below is an optimized crystal structure of CsCrInO4, with properties calculated at the PBE with a Hubbard U level.

Geometry as extended XYZ:
```
14
Lattice="6.574 0.000 -0.570 0.000 6.165 0.000 -3.255 0.000 7.987" Properties=species:S:1:pos:R:3 pbc="T T T"
O 3.411 0.160 5.574
Cr 0.803 4.624 2.194
Cs 1.309 4.624 7.120
Cs 2.010 1.541 0.297
O 2.081 1.541 3.603
O 1.238 4.624 3.814
O 1.100 1.541 6.099
O -0.092 3.242 1.844
O 3.411 2.922 5.574
In 3.658 4.624 3.842
O 2.219 4.624 1.318
O -0.092 6.005 1.844
In -0.339 1.541 3.576
Cr 2.516 1.541 5.223
```

Results
Uncorrected energy   -5.817 eV per atom
Total magnetization   0.0 μB per formula unit